VASP calculation (PBE+U) on a relaxed structure of Cs2RbCr2F7.

Cell lengths 6.2954, 6.2951, 11.7392 Å; angles 90.00, 105.49, 90.00 degrees
Space group C2/m (No. 12)
Asymmetric unit:
1 Cs 0.1816 0.0000 0.3643 (multiplicity 4)
2 Rb 0.0000 0.0000 0.0000 (multiplicity 2)
3 Cr 0.0902 0.5000 0.1811 (multiplicity 4)
4 F 0.0000 0.5000 0.0000 (multiplicity 2)
5 F 0.1606 0.2499 0.8211 (multiplicity 8)
6 F 0.1788 0.5000 0.3596 (multiplicity 4)

Output
electronic total energy = -125.87 eV/cell